Record 1
First-principles (GGA-PBE) data for a relaxed ZnAgTe2I crystal, as listed in Alexandria via LeMat-Bulk.

As for the space group: No. 123. Its density is 5666 kg/m³. As for the energy relative to the lowest polymorph listed for this composition: 0.000 eV/atom. Its formation energy from raw total energies is 0.422 eV/atom.

Lattice parameters (Å, degrees): 5.265 5.265 5.872 90.00 90.00 90.00
Element x y z (fractional)
Ag 0.500 0.500 0.500
Zn 0.000 0.000 0.000
Te 0.500 0.000 0.000
Te 0.000 0.500 0.000
I 0.000 0.000 0.500

=====

Record 2
First-principles (GGA-PBE) data for a relaxed BeTl2Pb crystal, as listed in Alexandria via LeMat-Bulk.

The formation energy comes out at 39.2 kJ/mol of atoms. As for the space group: No. 166. Its density is 10244 kg/m³. As for the energy relative to the lowest polymorph listed for this composition: 0.066 eV/atom.

Lattice parameters (Å, degrees): 10.098 10.098 10.098 19.60 19.60 19.60
Element x y z (fractional)
Pb 0.750 0.750 0.750
Tl 0.982 0.982 0.982
Tl 0.518 0.518 0.518
Be 0.250 0.250 0.250

=====

| no. | Fermi-level density of states (states/eV/f.u.) |
| --- | --- |
| 1 | 4.9 |
| 2 | 1.1 |